Entry 1:
The following is a DFT calculation (PBE-GGA) of PmTm3Sb3 after structural relaxation.

a = 8.987 Å, b = 8.987 Å, c = 8.002 Å
α = 55.84°, β = 55.84°, γ = 60.00°
Positions (direct):
Sb1 0.704 0.467 0.749
Sb2 0.080 0.704 0.749
Tm1 0.085 0.346 0.750
Tm2 0.654 0.181 0.250
Tm3 0.915 0.654 0.250
Sb3 0.296 0.533 0.251
Pm1 0.335 0.335 0.996
Pm2 0.665 0.665 0.004
Sb4 0.533 0.920 0.251
Tm4 0.819 0.085 0.750
Tm5 0.346 0.819 0.750
Tm6 0.181 0.915 0.250
Sb5 0.467 0.080 0.749
Sb6 0.920 0.296 0.251

Output
**Volume**: 426.1 Å³/cell
**Excess energy over the best structure of this formula in the dataset**: 0.094 eV/atom
**Space-group type**: R-3, No. 148
**Formation energy from raw total energies**: -0.8524 eV per atom
**E**: -5.214 eV/atom

***

Entry 2:
The following is a DFT calculation (PBE-GGA) of Pm2TmSb3 after structural relaxation.

a = 7.699 Å, b = 7.699 Å, c = 7.688 Å
α = 99.61°, β = 99.61°, γ = 120.02°
Positions (direct):
Tm1 0.666 0.334 0.000
Pm1 0.498 0.502 0.500
Sb1 0.252 0.246 0.756
Pm2 0.333 0.667 0.000
Pm3 0.169 0.831 0.500
Tm2 0.001 0.999 0.000
Sb2 0.913 0.585 0.756
Sb3 0.754 0.748 0.244
Sb4 0.415 0.087 0.244
Sb5 0.592 0.926 0.759
Pm4 0.833 0.167 0.500
Sb6 0.074 0.408 0.241

Output
**Volume**: 371.9 Å³/cell
**Space-group type**: C2/m, No. 12
**Formation energy from raw total energies**: -1.1412 eV per atom
**E**: -5.531 eV/atom

***

Entry 3:
The following is a DFT calculation (PBE-GGA) of PmTm3Sb3 after structural relaxation.

a = 9.173 Å, b = 9.173 Å, c = 9.173 Å
α = 90.00°, β = 90.00°, γ = 90.00°
Positions (direct):
Sb1 0.002 0.742 0.621
Pm1 0.569 0.931 0.069
Tm1 0.678 0.322 0.822
Tm2 0.680 0.680 0.680
Tm3 0.578 0.078 0.422
Tm4 0.422 0.578 0.078
Sb2 0.742 0.621 0.002
Sb3 0.379 0.502 0.758
Tm5 0.320 0.180 0.820
Pm2 0.431 0.431 0.431
Tm6 0.180 0.820 0.320
Pm3 0.069 0.569 0.931
Sb4 0.121 0.498 0.258
Tm7 0.820 0.320 0.180
Tm8 0.178 0.178 0.178
Sb5 0.242 0.879 0.998
Sb6 0.758 0.379 0.502
Sb7 0.621 0.002 0.742
Tm9 0.322 0.822 0.678
Tm10 0.078 0.422 0.578
Sb8 0.498 0.258 0.121
Pm4 0.931 0.069 0.569
Sb9 0.998 0.242 0.879
Tm11 0.822 0.678 0.322
Sb10 0.258 0.121 0.498
Sb11 0.502 0.758 0.379
Sb12 0.879 0.998 0.242
Tm12 0.922 0.922 0.922

Output
**Volume**: 771.8 Å³/cell
**Excess energy over the best structure of this formula in the dataset**: 0.000 eV/atom
**Space-group type**: P2_13, No. 198
**Formation energy from raw total energies**: -0.9461 eV per atom
**E**: -5.308 eV/atom

***

Entry 4:
The following is a DFT calculation (PBE-GGA) of Pm2YTm3Sb6 after structural relaxation.

a = 4.401 Å, b = 8.794 Å, c = 9.833 Å
α = 102.82°, β = 102.93°, γ = 90.00°
Positions (direct):
Y1 0.500 0.000 0.000
Tm1 0.832 0.166 0.665
Sb1 0.336 0.411 0.671
Sb2 0.333 0.924 0.666
Pm1 0.166 0.333 0.332
Sb3 0.997 0.251 0.994
Tm2 0.168 0.834 0.335
Sb4 0.003 0.749 0.006
Tm3 0.500 0.500 0.000
Sb5 0.664 0.589 0.329
Sb6 0.667 0.076 0.334
Pm2 0.834 0.667 0.668

Output
**Volume**: 361.2 Å³/cell
**Space-group type**: C2/m, No. 12
**Formation energy from raw total energies**: -1.1203 eV per atom
**E**: -5.630 eV/atom

***

Entry 5:
The following is a DFT calculation (PBE-GGA) of PmTmZnSb after structural relaxation.

a = 5.238 Å, b = 5.238 Å, c = 5.238 Å
α = 60.00°, β = 60.00°, γ = 60.00°
Positions (direct):
Sb1 0.000 0.000 0.000
Zn1 0.500 0.500 0.500
Pm1 0.250 0.250 0.250
Tm1 0.750 0.750 0.750

Output
**Volume**: 101.6 Å³/cell
**Space-group type**: F-43m, No. 216
**Formation energy from raw total energies**: -0.5159 eV per atom
**E**: -4.170 eV/atom

***

Entry 6:
The following is a DFT calculation (PBE-GGA) of Pm3USb4 after structural relaxation.

a = 4.440 Å, b = 7.739 Å, c = 7.739 Å
α = 109.05°, β = 90.00°, γ = 90.00°
Positions (direct):
Sb1 0.500 0.754 0.246
Sb2 0.000 0.754 0.754
Sb3 0.000 0.246 0.246
Pm1 0.500 0.500 0.500
U1 0.500 0.000 0.000
Pm2 0.000 0.000 0.500
Pm3 0.000 0.500 0.000
Sb4 0.500 0.246 0.754

Output
**Volume**: 251.4 Å³/cell
**Space-group type**: Cmmm, No. 65
**Formation energy from raw total energies**: -0.9300 eV per atom
**E**: -6.184 eV/atom

***

Entry 7:
The following is a DFT calculation (PBE-GGA) of PmU2Sb3 after structural relaxation.

a = 7.590 Å, b = 7.590 Å, c = 7.745 Å
α = 99.36°, β = 99.36°, γ = 120.09°
Positions (direct):
Sb1 0.249 0.253 0.746
Sb2 0.089 0.423 0.254
U1 0.333 0.667 0.000
U2 0.833 0.167 0.500
Sb3 0.418 0.080 0.254
Sb4 0.920 0.582 0.746
U3 0.165 0.835 0.500
Sb5 0.747 0.751 0.254
U4 0.502 0.498 0.500
Pm1 0.667 0.333 0.000
Sb6 0.577 0.911 0.746
Pm2 0.000 0.000 0.000

Output
**Volume**: 365.0 Å³/cell
**Space-group type**: C2/m, No. 12
**Formation energy from raw total energies**: -0.5072 eV per atom
**E**: -7.123 eV/atom

***

Entry 8:
The following is a DFT calculation (PBE-GGA) of Pm2USb after structural relaxation.

a = 4.599 Å, b = 4.891 Å, c = 4.891 Å
α = 90.00°, β = 90.00°, γ = 90.00°
Positions (direct):
Sb1 0.500 0.000 0.000
Pm1 0.000 0.000 0.500
U1 0.500 0.500 0.500
Pm2 0.000 0.500 0.000

Output
**Volume**: 110.0 Å³/cell
**Space-group type**: P4/mmm, No. 123
**Formation energy from raw total energies**: -0.1556 eV per atom
**E**: -6.384 eV/atom

***

Entry 9:
The following is a DFT calculation (PBE-GGA) of Pm4USb5 after structural relaxation.

a = 6.319 Å, b = 7.736 Å, c = 7.736 Å
α = 80.40°, β = 65.90°, γ = 65.90°
Positions (direct):
Pm1 0.200 0.203 0.399
Sb1 0.501 0.000 0.000
Sb2 0.903 0.392 0.804
Pm2 0.403 0.399 0.797
Sb3 0.707 0.196 0.392
U1 0.001 0.000 0.000
Sb4 0.295 0.804 0.608
Sb5 0.099 0.608 0.196
Pm3 0.599 0.601 0.203
Pm4 0.802 0.797 0.601

Output
**Volume**: 315.1 Å³/cell
**Space-group type**: I4/m, No. 87
**Formation energy from raw total energies**: -0.9823 eV per atom
**E**: -6.073 eV/atom

***

Entry 10:
The following is a DFT calculation (PBE-GGA) of Pm5USb6 after structural relaxation.

a = 7.753 Å, b = 7.753 Å, c = 7.746 Å
α = 99.60°, β = 99.60°, γ = 120.07°
Positions (direct):
Pm1 0.831 0.169 0.500
Sb1 0.410 0.082 0.247
Sb2 0.245 0.245 0.753
Sb3 0.590 0.918 0.753
Pm2 0.169 0.831 0.500
Sb4 0.918 0.590 0.753
U1 0.000 0.000 0.000
Pm3 0.500 0.500 0.500
Sb5 0.082 0.410 0.247
Sb6 0.755 0.755 0.247
Pm4 0.666 0.334 0.000
Pm5 0.334 0.666 0.000

Output
**Volume**: 379.9 Å³/cell
**Space-group type**: C2/m, No. 12
**Formation energy from raw total energies**: -1.0163 eV per atom
**E**: -5.998 eV/atom

***

Entry 11:
The following is a DFT calculation (PBE-GGA) of PmVSb2 after structural relaxation.

a = 3.408 Å, b = 3.408 Å, c = 10.943 Å
α = 81.04°, β = 81.04°, γ = 60.00°
Positions (direct):
V1 0.000 0.000 0.000
Sb1 0.916 0.916 0.253
Sb2 0.084 0.084 0.747
Pm1 0.500 0.500 0.500

Output
**Volume**: 108.3 Å³/cell
**Excess energy over the best structure of this formula in the dataset**: 0.486 eV/atom
**Space-group type**: R-3m, No. 166
**Formation energy from raw total energies**: 0.2100 eV per atom
**E**: -5.318 eV/atom

***

Entry 12:
The following is a DFT calculation (PBE-GGA) of PmVSb after structural relaxation.

a = 3.615 Å, b = 3.615 Å, c = 5.960 Å
α = 107.66°, β = 107.66°, γ = 90.00°
Positions (direct):
Pm1 0.620 0.620 0.240
V1 0.312 0.312 0.625
Sb1 0.918 0.918 0.835

Output
**Volume**: 70.4 Å³/cell
**Space-group type**: I4mm, No. 107
**Formation energy from raw total energies**: -0.1511 eV per atom
**E**: -6.148 eV/atom

***

Number 1: magnetization 0.000 μB/f.u.. Number 2: magnetization 0.000 μB/f.u.. Number 3: magnetization 0.000 μB/f.u.. Number 4: magnetization 0.000 μB/f.u.. Number 5: magnetization 0.000 μB/f.u.. Number 6: magnetization 2.552 μB/f.u.. Number 7: magnetization 5.334 μB/f.u.. Number 8: magnetization 3.101 μB/f.u.. Number 9: magnetization 2.513 μB/f.u.. Number 10: magnetization 2.498 μB/f.u.. Number 11: magnetization 3.736 μB/f.u.. Number 12: magnetization 1.050 μB/f.u..